# 1
First-principles (GGA-PBE) data for a geometry-optimized Li2SbSO structure, as listed in Alexandria.

Computed properties:
- Mass density: 2.61 Mg/m³
- Formation energy from raw total energies: -2.98 kcal/mol of atoms
- Symmetry: No. 123
- Uncorrected energy: -0.1300 hartree per atom

```
Li2SbSO
1.0
5.400 0.000 0.000
0.000 4.013 0.000
0.000 0.000 5.400
Li S O Sb
2 1 1 1
Direct
0.500 0.000 0.000
0.000 0.000 0.500
0.500 0.500 0.500
0.000 0.500 0.000
0.000 0.000 0.000
```

# 2
First-principles (GGA-PBE) data for a geometry-optimized LiScS2O8 structure, as listed in Alexandria.

Computed properties:
- Mass density: 2.66 Mg/m³
- Formation energy from raw total energies: -44.78 kcal/mol of atoms
- Symmetry: No. 164
- Uncorrected energy: -0.2434 hartree per atom

```
LiScS2O8
1.0
-0.254 -2.815 4.408
-3.017 -1.262 -4.090
4.611 -3.872 -2.206
O S Sc Li
8 2 1 1
Direct
0.642 0.821 0.705
0.179 0.821 0.705
0.358 0.179 0.295
0.821 0.642 0.295
0.333 0.667 0.013
0.821 0.179 0.295
0.179 0.358 0.705
0.667 0.333 0.987
0.333 0.667 0.788
0.667 0.333 0.212
0.000 0.000 0.500
0.000 0.000 0.000
```

# 3
First-principles (GGA-PBE) data for a geometry-optimized LiScSO2 structure, as listed in Alexandria.

Computed properties:
- Mass density: 3.15 Mg/m³
- Formation energy from raw total energies: -21.88 kcal/mol of atoms
- Symmetry: No. 123
- Uncorrected energy: -0.1987 hartree per atom

```
LiScSO2
1.0
-2.241 -0.315 2.952
0.053 -4.403 -0.429
2.968 -0.182 2.234
S Li O Sc
1 1 2 1
Direct
0.000 0.500 0.000
0.000 0.000 0.000
0.000 0.000 0.500
0.500 0.000 0.000
0.500 0.500 0.500
```